{"formula": "CaTi", "functional": "PBE", "state": "relaxed", "cell": [[-2.520, -4.165, 3.799], [-0.757, -3.874, -4.749], [5.623, -2.420, 1.077]], "species": ["Ca", "Ti", "Ti", "Ca", "Ca", "Ca", "Ti", "Ti"], "frac_coords": [[0.825, 0.175, 0.000], [0.631, 0.631, 0.000], [0.131, 0.869, 0.500], [0.175, 0.825, 0.000], [0.325, 0.325, 0.500], [0.675, 0.675, 0.500], [0.369, 0.369, 0.000], [0.869, 0.131, 0.500]], "formation_enthalpy_0k_ev_per_atom": 0.96, "de_polymorph_ev_per_atom": 0.508, "energy_ev_per_atom": -3.99, "crystal_system": "tetragonal"}